GGA-PBE AsPRhAuS, relaxed; size of the total moment = 0.00 μB per formula unit; E_form (uncorrected) = -0.032 eV per atom; energy relative to the lowest polymorph listed for this composition = 105 meV/atom; energy = -4.995 eV per atom
1.0
-1.424 1.071 2.977
-3.691 -1.966 0.397
2.393 -5.308 4.325
Au Rh P As S
1 1 1 1 1
direct
0.432 0.013 0.677 Au
0.055 0.122 0.349 Rh
0.616 0.134 0.139 P
0.375 0.547 0.459 As
0.815 0.795 0.939 S



GGA-PBE AsPRhAuS, relaxed; size of the total moment = 0.00 μB per formula unit; E_form (uncorrected) = -0.136 eV per atom; energy relative to the lowest polymorph listed for this composition = 0 meV/atom; energy = -5.100 eV per atom
1.0
-1.663 -5.419 -4.342
-1.157 -2.064 3.019
-6.208 3.112 -0.252
As P S Rh Au
2 2 2 2 2
direct
0.467 0.500 0.423 As
0.467 0.000 0.923 As
0.183 0.500 0.738 P
0.183 0.000 0.238 P
0.886 0.500 0.723 S
0.886 0.000 0.223 S
0.316 0.000 0.588 Rh
0.316 0.500 0.088 Rh
0.711 0.500 0.039 Au
0.711 0.000 0.539 Au



GGA-PBE AsPRuAu2, relaxed; size of the total moment = 0.00 μB per formula unit; E_form = 14.3 kcal/mol of atoms; energy = -4.558 eV per atom
1.0
-3.066 -3.523 -0.734
3.334 -2.673 -1.100
0.434 -1.319 4.519
P Ru Au As
1 1 2 1
direct
0.000 0.000 0.000 P
0.000 0.500 0.000 Ru
0.000 0.000 0.500 Au
0.500 0.000 0.000 Au
0.500 0.500 0.500 As



GGA-PBE AsP2AuS, relaxed; size of the total moment = 0.40 μB per formula unit; E_form (uncorrected) = 1.060 eV per atom; energy relative to the lowest polymorph listed for this composition = 0 meV/atom; energy = -3.515 eV per atom
1.0
-4.311 -1.977 0.078
0.821 -1.618 4.383
-1.761 3.910 1.773
P S Au As
2 1 1 1
direct
0.500 0.000 0.000 P
0.000 0.500 0.000 P
0.000 0.000 0.500 S
0.500 0.500 0.500 Au
0.000 0.000 0.000 As



GGA-PBE AsPAuS2, relaxed; size of the total moment = 0.00 μB per formula unit; E_form (uncorrected) = 0.939 eV per atom; energy relative to the lowest polymorph listed for this composition = 0 meV/atom; energy = -3.379 eV per atom
1.0
-3.274 2.947 -1.473
-2.837 -1.465 3.373
1.759 3.439 2.972
S P Au As
2 1 1 1
direct
0.500 0.000 0.000 S
0.000 0.500 0.000 S
0.000 0.000 0.500 P
0.500 0.500 0.500 Au
0.000 0.000 0.000 As



GGA-PBE AsPAuSe2, relaxed; size of the total moment = 0.00 μB per formula unit; E_form (uncorrected) = 1.086 eV per atom; energy relative to the lowest polymorph listed for this composition = 357 meV/atom; energy = -2.975 eV per atom
1.0
-0.857 3.331 -3.753
-1.067 -3.841 -3.166
-4.715 0.244 1.293
Au As Se P
1 1 2 1
direct
0.000 0.000 0.000 Au
0.000 0.000 0.500 As
0.000 0.500 0.000 Se
0.500 0.000 0.000 Se
0.500 0.500 0.500 P



GGA-PBE As2PAuSe, relaxed; size of the total moment = 0.50 μB per formula unit; E_form (uncorrected) = 1.148 eV per atom; energy relative to the lowest polymorph listed for this composition = 381 meV/atom; energy = -3.146 eV per atom
1.0
4.980 0.000 0.000
0.000 4.980 0.000
0.000 0.000 5.090
P As Se Au
1 2 1 1
direct
0.500 0.500 0.500 P
0.500 0.000 0.000 As
0.000 0.500 0.000 As
0.000 0.000 0.500 Se
0.000 0.000 0.000 Au



GGA-PBE AsPAuSe2, relaxed; size of the total moment = 0.00 μB per formula unit; E_form (uncorrected) = 0.729 eV per atom; energy relative to the lowest polymorph listed for this composition = 0 meV/atom; energy = -3.332 eV per atom
1.0
4.891 0.000 0.000
0.000 4.891 0.000
0.000 0.000 4.669
Au As Se P
1 1 2 1
direct
0.500 0.500 0.500 Au
0.000 0.000 0.500 As
0.000 0.500 0.000 Se
0.500 0.000 0.000 Se
0.000 0.000 0.000 P